The following is a PBE calculation of a geometry-optimized Sc4SbPbN structure, from the Alexandria database.

The structure in CIF format:
```
data_Sc4SbPbN
_symmetry_space_group_name_H-M 'C m c m'
_symmetry_Int_Tables_number 63
_symmetry_space_group_name_Hall '-C 2c 2'
_cell_length_a 6.231
_cell_length_b 15.028
_cell_length_c 6.226
_cell_angle_alpha 90.00
_cell_angle_beta 90.00
_cell_angle_gamma 90.00
loop_
_atom_site_label
_atom_site_fract_x
_atom_site_fract_y
_atom_site_fract_z
Sc1 0.000 0.097 0.250
Sc2 0.000 0.401 0.250
Sc3 0.250 0.250 0.000
Sb1 0.000 0.105 0.750
Pb1 0.000 0.399 0.750
N1 0.000 0.250 0.250
```

raw formation energy	-1011	meV per atom
total magnetic moment	0.0	μB per formula unit

The following is a PBE calculation of a geometry-optimized Pu2GeRu structure, from the Alexandria database.

The structure in CIF format:
```
data_Pu2GeRu
_symmetry_space_group_name_H-M 'P -3 m 1'
_symmetry_Int_Tables_number 164
_symmetry_space_group_name_Hall '-P 3 2"'
_cell_length_a 4.6079
_cell_length_b 4.6079
_cell_length_c 5.0991
_cell_angle_alpha 90.00
_cell_angle_beta 90.00
_cell_angle_gamma 120.00
loop_
_atom_site_label
_atom_site_fract_x
_atom_site_fract_y
_atom_site_fract_z
Pu1 0.3333 0.6667 0.2219
Ge1 0.0000 0.0000 0.5000
Ru1 0.0000 0.0000 0.0000
```

calculated formation energy	-0.20	eV/atom
total magnetic moment	10.4	μB per formula unit

The following is a PBE calculation of a geometry-optimized Pm8Mg2Co structure, from the Alexandria database.

The structure in CIF format:
```
data_Pm8Mg2Co
_symmetry_space_group_name_H-M 'C 1 2/m 1'
_symmetry_Int_Tables_number 12
_cell_length_a 17.646
_cell_length_b 5.707
_cell_length_c 7.059
_cell_angle_alpha 90.00
_cell_angle_beta 111.43
_cell_angle_gamma 90.00
loop_
_symmetry_equiv_pos_as_xyz
'x,y,z'
'-x,-y,-z'
'-x,y,-z'
'x,-y,z'
'x+1/2,y+1/2,z'
'-x+1/2,-y+1/2,-z'
'-x+1/2,y+1/2,-z'
'x+1/2,-y+1/2,z'
loop_
_atom_site_label
_atom_site_fract_x
_atom_site_fract_y
_atom_site_fract_z
Pm1 0.011 0.000 0.276
Pm2 0.100 0.500 0.894
Pm3 0.138 0.500 0.414
Pm4 0.196 0.000 0.741
Mg1 0.184 0.000 0.193
Co1 0.000 0.500 0.500
```

calculated formation energy	0.01	eV/atom
total magnetic moment	0.0	μB per formula unit

The following is a PBE calculation of a geometry-optimized CdIn2W structure, from the Alexandria database.

The structure in CIF format:
```
data_CdIn2W
_symmetry_space_group_name_H-M 'P 4/m m m'
_symmetry_Int_Tables_number 123
_symmetry_space_group_name_Hall '-P 4 2'
_cell_length_a 2.967
_cell_length_b 2.967
_cell_length_c 9.609
_cell_angle_alpha 90.00
_cell_angle_beta 90.00
_cell_angle_gamma 90.00
loop_
_atom_site_label
_atom_site_fract_x
_atom_site_fract_y
_atom_site_fract_z
Cd1 0.000 0.000 0.000
In1 0.500 0.500 0.275
W1 0.000 0.000 0.500
```

calculated formation energy	0.49	eV/atom
total magnetic moment	0.0	μB per formula unit

The following is a PBE calculation of a geometry-optimized TaSnPd structure, from the Alexandria database.

The structure in CIF format:
```
data_TaSnPd
_symmetry_space_group_name_H-M 'R -3 m'
_symmetry_Int_Tables_number 166
_symmetry_space_group_name_Hall '-R 3 2"'
_cell_length_a 4.5368
_cell_length_b 4.5368
_cell_length_c 21.4998
_cell_angle_alpha 90.00
_cell_angle_beta 90.00
_cell_angle_gamma 120.00
loop_
_atom_site_label
_atom_site_fract_x
_atom_site_fract_y
_atom_site_fract_z
Ta1 0.0000 0.0000 0.2178
Sn1 0.0000 0.0000 0.3756
Pd1 0.0000 0.0000 0.0993
```

calculated formation energy	0.06	eV/atom
total magnetic moment	0.0	μB per formula unit

The following is a PBE calculation of a geometry-optimized BaLaIr structure, from the Alexandria database.

The structure in CIF format:
```
data_BaLaIr
_symmetry_space_group_name_H-M 'P 3 m 1'
_symmetry_Int_Tables_number 156
_cell_length_a 4.3547
_cell_length_b 4.3547
_cell_length_c 7.0990
_cell_angle_alpha 90.00
_cell_angle_beta 90.00
_cell_angle_gamma 120.00
loop_
_symmetry_equiv_pos_as_xyz
'x,y,z'
'-y,x-y,z'
'-x+y,-x,z'
'-y,-x,z'
'-x+y,y,z'
'x,x-y,z'
loop_
_atom_site_label
_atom_site_fract_x
_atom_site_fract_y
_atom_site_fract_z
Ba1 0.0000 0.0000 0.0000
La1 0.3333 0.6667 0.4519
Ir1 0.6667 0.3333 0.2719
```

calculated formation energy	-0.40	eV/atom
energy above the lowest structure with this stoichiometry	0.12	eV/f.u.
total magnetic moment	0.0	μB per formula unit

The following is a PBE calculation of a geometry-optimized CaNdMgRh structure, from the Alexandria database.

The structure in CIF format:
```
data_CaNdMgRh
_symmetry_space_group_name_H-M 'F -4 3 m'
_symmetry_Int_Tables_number 216
_symmetry_space_group_name_Hall 'F -4 2 3'
_cell_length_a 7.312
_cell_length_b 7.312
_cell_length_c 7.312
_cell_angle_alpha 90.00
_cell_angle_beta 90.00
_cell_angle_gamma 90.00
loop_
_atom_site_label
_atom_site_fract_x
_atom_site_fract_y
_atom_site_fract_z
Ca1 0.000 0.000 0.000
Nd1 0.000 0.000 0.500
Mg1 0.250 0.250 0.750
Rh1 0.250 0.250 0.250
```

calculated formation energy	-0.24	eV/atom
total magnetic moment	0.0	μB per formula unit

The following is a PBE calculation of a geometry-optimized Sc2TiAgC structure, from the Alexandria database.

The structure in CIF format:
```
data_Sc2TiAgC
_symmetry_space_group_name_H-M 'P 4/m m m'
_symmetry_Int_Tables_number 123
_symmetry_space_group_name_Hall '-P 4 2'
_cell_length_a 4.569
_cell_length_b 4.569
_cell_length_c 4.144
_cell_angle_alpha 90.00
_cell_angle_beta 90.00
_cell_angle_gamma 90.00
loop_
_atom_site_label
_atom_site_fract_x
_atom_site_fract_y
_atom_site_fract_z
Sc1 0.000 0.500 0.000
Ti1 0.000 0.000 0.500
Ag1 0.500 0.500 0.500
C1 0.000 0.000 0.000
```

calculated formation energy	-0.36	eV/atom
total magnetic moment	0.0	μB per formula unit